A relaxed structure of Mn2OsBr. Source: Alexandria via LeMat-Bulk, functional GGA-PBE.

Lattice parameters (Å, degrees): 3.0235 3.0235 7.0436 90.00 90.00 90.00
With the nearest neighbours (Å) after each atom.
Fractional coordinates of all 4 atoms:
Br 0.5000 0.5000 0.7794  4 Mn 2.76, 4 Br 3.02
Mn 0.0000 0.0000 0.0280  4 Mn 2.69, 4 Br 2.76, 1 Os 2.85
Mn 0.5000 0.5000 0.2595  4 Os 2.46, 4 Mn 2.69
Os 0.0000 0.0000 0.4330  4 Mn 2.46

* space group: P4mm (99)
* ρ: 9.800 Mg/m³
* calculated total energy: -28.99 eV per cell
* ΔE_f (raw): 0.56 eV/atom